1.
The following is a SCAN calculation of FeCoCu2P at its PBEsol-relaxed geometry, from Alexandria via LeMat-Bulk. Values from VASP.

Values from the calculation:
DOS at the Fermi energy (states/eV/cell): 2.79
Symmetry: P4/mmm (123)
E_form (eV/atom): 1.13

Structure (Quantum ESPRESSO input):
```
&SYSTEM
  ibrav = 0, nat = 5, ntyp = 4
/
ATOMIC_SPECIES
P 30.97 P.upf
Co 58.93 Co.upf
Fe 55.84 Fe.upf
Cu 63.55 Cu.upf
ATOMIC_POSITIONS angstrom
P -3.559 0.913 0.294
Co 0.000 0.000 0.000
Fe -1.474 -0.490 -1.405
Cu -0.771 1.999 0.111
Cu -1.314 -0.595 1.587
CELL_PARAMETERS angstrom
-2.948 -0.980 -2.809
-2.629 -1.190 3.174
-1.541 3.997 0.223
```

***

2.
The following is a SCAN calculation of MnOsPdPt2 at its PBEsol-relaxed geometry, from Alexandria via LeMat-Bulk. Values from VASP.

Values from the calculation:
DOS at the Fermi energy (states/eV/cell): 3.87
Symmetry: P4/mmm (123)
E_form (eV/atom): 1.52

Structure (Quantum ESPRESSO input):
```
&SYSTEM
  ibrav = 0, nat = 5, ntyp = 4
/
ATOMIC_SPECIES
Mn 54.94 Mn.upf
Os 190.23 Os.upf
Pd 106.42 Pd.upf
Pt 195.08 Pt.upf
ATOMIC_POSITIONS angstrom
Mn 0.000 0.000 0.000
Os 2.171 2.213 2.213
Pd 2.171 0.000 0.000
Pt 0.000 0.000 2.213
Pt 0.000 2.213 0.000
CELL_PARAMETERS angstrom
4.342 0.000 0.000
0.000 4.426 0.000
0.000 0.000 4.426
```